Record 1
Here is PmGdZnCd after structural relaxation from Alexandria via LeMat-Bulk. Energies are from PBE.

Cell: 7.448 7.448 7.448 Å, 90.00 90.00 90.00°
Space group F-43m (No. 216)
One atom of each set of equivalent atoms:
Pm (0.000, 0.000, 0.000)
Gd (0.000, 0.000, 0.500)
Zn (0.250, 0.250, 0.250)
Cd (0.250, 0.250, 0.750)

Calculated values
ΔH_f (0 K) = -321.0 meV per atom

=====

Record 2
Here is MgSi2TcB after structural relaxation from Alexandria via LeMat-Bulk. Energies are from PBE.

Cell: 4.032 4.032 4.280 Å, 90.00 90.00 90.00°
Space group P4/mmm (No. 123)
One atom of each set of equivalent atoms:
Mg (0.000, 0.000, 0.000)
Si (0.000, 0.500, 0.500)
Tc (0.500, 0.500, 0.000)
B (0.000, 0.000, 0.500)

Calculated values
ΔE_f (raw) = 778.2 meV per atom

=====

Record 3
Here is ZrScTeC after structural relaxation from Alexandria via LeMat-Bulk. Energies are from PBE.

Cell: 3.5532 3.5532 20.2089 Å, 90.00 90.00 120.00°
Space group R3m (No. 160, hexagonal axes)
One atom of each set of equivalent atoms:
Zr (0.0000, 0.0000, 0.0000)
Sc (0.0000, 0.0000, 0.2150)
Te (0.0000, 0.0000, 0.4409)
C (0.0000, 0.0000, 0.6116)

Calculated values
ΔE_f (raw) = -833.9 meV per atom

=====

Record 4
Here is TaTi3Ni after structural relaxation from Alexandria via LeMat-Bulk. Energies are from PBE.

Cell: 5.652 11.779 4.943 Å, 90.00 90.00 90.00°
Space group Cmcm (No. 63)
One atom of each set of equivalent atoms:
Ta (0.000, 0.110, 0.250)
Ti (0.000, 0.319, 0.750)
Ti (0.248, 0.138, 0.750)
Ni (0.000, 0.500, 0.000)

Calculated values
ΔH_f (0 K) = 149.4 meV per atom
Offset from the most stable computed form = 0.00 eV per formula unit